# Ga8Ir2Pd, optimized geometry, DFT PBE-GGA
data_Ga8Ir2Pd
_space_group_name_H-M_alt 'C 1 2/m 1'
_space_group_IT_number 12
_space_group_name_Hall '-C 2y'
_cell_length_a 11.575
_cell_length_b 6.777
_cell_length_c 5.006
_cell_angle_alpha 90.00
_cell_angle_beta 99.81
_cell_angle_gamma 90.00
loop_
_atom_site_label
_atom_site_type_symbol
_atom_site_fract_x
_atom_site_fract_y
_atom_site_fract_z
Ga1 Ga 0.078 0.000 0.345
Ga2 Ga 0.097 0.229 0.879
Ga3 Ga 0.199 0.500 0.332
Ir1 Ir 0.237 0.500 0.848
Pd1 Pd 0.000 0.500 0.500
# Total magnetization   0.000 μB/atom
# DFT total energy   -0.33293 Ry/atom